1.
TiCdNi2Ir | PBE | optimized geometry

POSCAR file:
```
TiCdNi2Ir
1.0
4.4845 0.0000 0.0000
0.0000 4.4845 0.0000
0.0000 0.0000 4.9211
Ti Cd Ni Ir
1 1 2 1
Cartesian
0.0000 0.0000 0.0000
2.2423 2.2423 2.4606
0.0000 2.2423 2.4606
2.2423 0.0000 2.4606
2.2423 2.2423 0.0000
```

Summary:
Energy of formation in eV/atom: 1.427
DOS(E_F) in states/eV per cell: 8.218
Total energy in eV per formula unit: -22.1
Calculated density in Mg/m³: 7.9
Space-group type: P4/mmm (123)



2.
Rb2InP | PBE | optimized geometry

POSCAR file:
```
Rb2InP
1.0
4.2137 0.0000 0.0000
0.0000 2.7564 6.6978
0.0000 -2.7564 6.6978
Rb In P
2 1 1
Cartesian
0.0000 0.0000 0.0000
2.1068 0.0000 4.1056
2.1068 0.0000 8.2468
0.0000 0.0000 9.8321
```

Summary:
Energy of formation in eV/atom: -0.239
DOS(E_F) in states/eV per cell: 0.224
Total energy in eV per formula unit: -11.0
Calculated density in Mg/m³: 3.4
Space-group type: Amm2 (38)



3.
Ti2FeAuSe | PBE | optimized geometry

POSCAR file:
```
Ti2FeAuSe
1.0
4.5838 0.0000 0.0000
0.0000 4.5838 0.0000
0.0000 0.0000 4.2969
Ti Fe Au Se
2 1 1 1
Cartesian
0.0000 2.2919 0.0000
2.2919 0.0000 0.0000
0.0000 0.0000 0.0000
2.2919 2.2919 2.1485
0.0000 0.0000 2.1485
```

Summary:
DOS(E_F) in states/eV per cell: 6.010
Total energy in eV per formula unit: -30.2
Calculated density in Mg/m³: 7.9
Uncorrected formation energy in eV per atom: 0.17
Space-group type: P4/mmm (123)



4.
MgIn2Tc | PBE | optimized geometry

POSCAR file:
```
MgIn2Tc
1.0
3.0712 0.0000 0.0000
0.0000 3.0712 0.0000
0.0000 0.0000 8.9223
Mg In Tc
1 2 1
Cartesian
0.0000 0.0000 0.0000
0.0000 0.0000 3.7076
1.5356 1.5356 6.3865
1.5356 1.5356 1.8122
```

Summary:
Energy of formation in eV/atom: 0.256
DOS(E_F) in states/eV per cell: 2.577
Total energy in eV per formula unit: -16.4
Calculated density in Mg/m³: 6.9
Space-group type: P4mm (99)



5.
CdBAs3 | PBE | optimized geometry

POSCAR file:
```
CdBAs3
1.0
5.1509 0.0000 0.0000
0.0000 5.1509 0.0000
0.0000 0.0000 5.1509
Cd B As
1 1 3
Cartesian
0.0000 0.0000 0.0000
2.5754 2.5754 2.5754
0.0000 0.0000 2.5754
0.0000 2.5754 0.0000
2.5754 0.0000 0.0000
```

Summary:
Energy of formation in eV/atom: 1.842
DOS(E_F) in states/eV per cell: 4.517
Total energy in eV per formula unit: -12.3
Calculated density in Mg/m³: 4.2
Space-group type: Pm-3m (221)



6.
Sc2TlHO | PBE | optimized geometry

POSCAR file:
```
Sc2TlHO
1.0
-1.7309 1.7309 6.5192
1.7309 -1.7309 6.5192
1.7309 1.7309 -6.5192
Sc Tl H O
2 1 1 1
Cartesian
0.0000 0.0000 2.1117
0.0000 0.0000 10.9266
0.0000 0.0000 6.5192
1.7309 0.0000 3.2596
0.0000 1.7309 3.2596
```

Summary:
DOS(E_F) in states/eV per cell: 0.784
Total energy in eV per formula unit: -30.8
Calculated density in Mg/m³: 6.6
Space-group type: I-4m2 (119)



7.
CoTe2AuN | PBE | optimized geometry

POSCAR file:
```
CoTe2AuN
1.0
5.3360 0.0000 0.0000
0.0000 5.3360 0.0000
0.0000 0.0000 3.3747
Co Te Au N
1 2 1 1
Cartesian
0.0000 0.0000 0.0000
0.0000 2.6680 0.0000
2.6680 0.0000 0.0000
2.6680 2.6680 1.6874
0.0000 0.0000 1.6874
```

Summary:
DOS(E_F) in states/eV per cell: 4.420
Total energy in eV per formula unit: -23.3
Calculated density in Mg/m³: 9.1
Uncorrected formation energy in eV per atom: 0.33
Space-group type: P4/mmm (123)



8.
Co2As3 | PBE | optimized geometry

POSCAR file:
```
Co2As3
1.0
3.0283 1.7484 4.8917
-3.0283 1.7484 4.8917
0.0000 -3.4968 4.8917
Co As
4 6
Cartesian
0.0000 0.0000 2.3881
0.0000 0.0000 4.9493
0.0000 0.0000 9.7256
0.0000 0.0000 12.2868
-2.0093 0.0165 6.1146
-1.0190 -1.7319 8.5604
0.9904 -1.7484 6.1146
-0.9904 1.7484 8.5604
1.0190 1.7319 6.1146
2.0093 -0.0165 8.5604
```

Summary:
Energy of formation in eV/atom: -0.217
DOS(E_F) in states/eV per cell: 8.450
Total energy in eV per formula unit: -29.2
Calculated density in Mg/m³: 7.3
Space-group type: R-3c (167)